A relaxed MnCrIrS crystal. Source: Alexandria, functional PBE.

Structure (POSCAR):
```
MnCrIrS
1.0
-0.968 -3.565 -2.218
2.602 -0.096 -0.981
1.437 -1.720 3.980
Cr S Ir Mn
1 1 1 1
Direct
0.497 0.000 0.534
0.142 0.500 0.898
0.961 0.500 0.365
0.536 0.000 0.966
```

## Properties
DOS at the Fermi energy = 0.831 states/eV per atom
ΔE to the lowest computed polymorph = 6.52 kcal/mol of atoms
ΔE_f (raw) = 113 meV/atom
electronic total energy = -7.83 eV per atom